Entry 1:
Here is a geometry-optimized CaTa2AuI structure from Alexandria via LeMat-Bulk. Energies are from PBE.

Unit cell a=5.0646 b=5.0646 c=5.7975 alpha=90.00 beta=90.00 gamma=90.00
Last column: nearest neighbours and their distance in Å.
Fractional coordinates of all 5 atoms:
Ca1 0.0000 0.0000 0.0000  2 Au 2.90
Ta1 0.0000 0.5000 0.5000  2 Au 2.53
Ta2 0.5000 0.0000 0.5000  2 Au 2.53
Au1 0.0000 0.0000 0.5000  4 Ta 2.53
I1 0.5000 0.5000 0.0000  4 Ca 3.58, 8 Ta 3.85

Results
For the energy, the calculation gives -25.4 eV for the cell shown. The uncorrected formation energy comes out at 1.024 eV/atom.

Entry 2:
Here is a geometry-optimized CaZr2AuI structure from Alexandria via LeMat-Bulk. Energies are from PBE.

Unit cell a=5.2428 b=5.2428 c=5.4211 alpha=90.00 beta=90.00 gamma=90.00
Last column: nearest neighbours and their distance in Å.
Fractional coordinates of all 5 atoms:
Ca1 0.0000 0.0000 0.0000  4 Zr 2.62, 2 I 2.71
Zr1 0.0000 0.5000 0.0000  2 Ca 2.62
Zr2 0.5000 0.0000 0.0000  2 Ca 2.62
Au1 0.5000 0.5000 0.5000  4 I 3.71, 8 Zr 3.77
I1 0.0000 0.0000 0.5000  2 Ca 2.71

Results
For the energy, the calculation gives -17.1 eV for the cell shown. The uncorrected formation energy comes out at 1.355 eV/atom.

Entry 3:
Here is a geometry-optimized CaIn2Au6 structure from Alexandria via LeMat-Bulk. Energies are from PBE.

Unit cell a=8.7701 b=8.7701 c=5.3313 alpha=90.57 beta=90.57 gamma=117.75
Last column: nearest neighbours and their distance in Å.
Fractional coordinates of all 18 atoms:
Ca1 0.2487 0.7513 0.7500  10 Au 3.03-3.06
Ca2 0.7513 0.2487 0.2500  10 Au 3.03-3.06
In1 0.1598 0.3425 0.4974  10 Au 2.87-3.09
In2 0.3425 0.1598 0.9974  10 Au 2.87-3.09
In3 0.6575 0.8402 0.0026  10 Au 2.87-3.09
In4 0.8402 0.6575 0.5026  10 Au 2.87-3.09
Au1 0.0106 0.1671 0.9868  4 Au 2.85-2.97, 4 In 2.94-3.09, 1 Ca 3.04
Au2 0.0865 0.5878 0.2418  2 In 2.87, 5 Au 2.93-3.20, 3 Ca 3.03-3.06
Au3 0.1671 0.0106 0.4868  4 Au 2.85-2.97, 4 In 2.94-3.09, 1 Ca 3.04
Au4 0.3338 0.4934 0.0086  5 Au 2.86-3.20, 4 In 2.96-3.08, 1 Ca 3.03
Au5 0.4122 0.9135 0.2582  2 In 2.87, 5 Au 2.93-3.20, 3 Ca 3.03-3.06
Au6 0.4934 0.3338 0.5086  5 Au 2.86-3.20, 4 In 2.96-3.08, 1 Ca 3.03
Au7 0.5066 0.6662 0.4914  5 Au 2.86-3.20, 4 In 2.96-3.08, 1 Ca 3.03
Au8 0.5878 0.0865 0.7418  2 In 2.87, 5 Au 2.93-3.20, 3 Ca 3.03-3.06
Au9 0.6662 0.5066 0.9914  5 Au 2.86-3.20, 4 In 2.96-3.08, 1 Ca 3.03
Au10 0.8329 0.9894 0.5132  4 Au 2.85-2.97, 4 In 2.94-3.09, 1 Ca 3.04
Au11 0.9135 0.4122 0.7582  2 In 2.87, 5 Au 2.93-3.20, 3 Ca 3.03-3.06
Au12 0.9894 0.8329 0.0132  4 Au 2.85-2.97, 4 In 2.94-3.09, 1 Ca 3.04

Results
For the energy, the calculation gives -60.0 eV for the cell shown. The energy of formation from the pure elements is -0.32 eV per atom.